Density functional theory data (GGA-PBE) for GaSiAg after structural relaxation.

The structure belongs to space group P2 (No. 3); the cell edges are 2.8447, 6.3190 and 6.0930 Å and the angles 90.00°, 90.08° and 90.00°. The inequivalent atoms are Ga at (0.0043, 0.0000, 0.2858), Si at (0.0000, 0.6098, 0.1958), Ag at (0.5000, 0.2477, 0.0000) and Ag at (0.5000, 0.4006, 0.5000).

The formation energy from raw total energies is 0.1986 eV/atom.


Density functional theory data (GGA-PBE) for GaSiAg after structural relaxation.

The structure belongs to space group Cm (No. 8); the cell edges are 12.3246, 3.6487 and 5.9650 Å and the angles 90.00°, 118.29° and 90.00°. The inequivalent atoms are Ga at (0.0000, 0.0000, 0.0000), Ga at (0.1407, 0.5000, 0.3805), Si at (0.0331, 0.5000, 0.6724), Si at (0.1691, 0.0000, 0.8224), Ag at (0.3200, 0.0000, 0.6332) and Ag at (0.3792, 0.0000, 0.1978).

The formation energy from raw total energies is 0.1609 eV/atom.


Density functional theory data (GGA-PBE) for GaSiAg after structural relaxation.

The structure belongs to space group Pnma (No. 62); the cell edges are 6.7621, 5.1838 and 6.2301 Å and the angles 90.00°, 90.00° and 90.00°. The inequivalent atoms are Ga at (0.0000, 0.0000, 0.0000), Si at (0.1963, 0.2500, 0.3085) and Ag at (0.0989, 0.7500, 0.4136).

The formation energy from raw total energies is 0.2921 eV/atom.


Density functional theory data (GGA-PBE) for GaSiAg after structural relaxation.

The structure belongs to space group Pm (No. 6); the cell edges are 6.0452, 2.7915 and 6.4433 Å and the angles 90.00°, 90.02° and 90.00°. The inequivalent atoms are Ga at (0.0000, 0.0000, 0.0000), Ga at (0.1058, 0.0000, 0.5005), Si at (0.3835, 0.0000, 0.1921), Si at (0.3836, 0.0000, 0.8092), Ag at (0.7412, 0.5000, 0.7181) and Ag at (0.7416, 0.5000, 0.2820).

The formation energy from raw total energies is 0.1964 eV/atom.


Density functional theory data (GGA-PBE) for GaSi2Ag2 after structural relaxation.

The structure belongs to space group I4/mmm (No. 139); the cell edges are 4.1270, 4.1270 and 10.9971 Å and the angles 90.00°, 90.00° and 90.00°. The inequivalent atoms are Ga at (0.0000, 0.0000, 0.0000), Si at (0.0000, 0.0000, 0.3956) and Ag at (0.0000, 0.5000, 0.2500).

The formation energy from raw total energies is 0.2981 eV/atom. For the offset from the most stable computed form, the calculation gives 11 meV/atom.


Density functional theory data (GGA-PBE) for GaSiAg3 after structural relaxation.

The structure belongs to space group Pm-3m (No. 221); the cell edges are 4.8423, 4.8423 and 4.8423 Å and the angles 90.00°, 90.00° and 90.00°. The inequivalent atoms are Ga at (0.0000, 0.0000, 0.0000), Si at (0.5000, 0.5000, 0.5000) and Ag at (0.0000, 0.0000, 0.5000).

The formation energy from raw total energies is 0.7384 eV/atom. For the offset from the most stable computed form, the calculation gives 387 meV/atom.


Density functional theory data (GGA-PBE) for GaSiAg after structural relaxation.

The structure belongs to space group P1 (No. 1); the cell edges are 2.7913, 6.2222 and 6.4863 Å and the angles 82.27°, 78.18° and 77.13°. The inequivalent atoms are Ga at (0.0000, 0.0000, 0.0000), Ga at (0.1462, 0.4950, 0.2157), Si at (0.7418, 0.7969, 0.7257), Si at (0.8717, 0.4107, 0.8663), Ag at (0.3798, 0.8730, 0.3677) and Ag at (0.6030, 0.2621, 0.5392).

The formation energy from raw total energies is 0.1642 eV/atom.


Density functional theory data (GGA-PBE) for GaSi3Ag after structural relaxation.

The structure belongs to space group Pm-3m (No. 221); the cell edges are 4.7690, 4.7690 and 4.7690 Å and the angles 90.00°, 90.00° and 90.00°. The inequivalent atoms are Ga at (0.0000, 0.0000, 0.0000), Si at (0.0000, 0.0000, 0.5000) and Ag at (0.5000, 0.5000, 0.5000).

The formation energy from raw total energies is 1.0326 eV/atom. For the offset from the most stable computed form, the calculation gives 0 meV/atom.


Density functional theory data (GGA-PBE) for GaSiAg after structural relaxation.

The structure belongs to space group P1 (No. 1); the cell edges are 2.8706, 4.0272 and 9.8668 Å and the angles 90.00°, 98.24° and 90.00°. The inequivalent atoms are Ga at (0.0000, 0.0000, 0.0000), Ga at (0.1544, 0.9999, 0.2960), Si at (0.3341, 0.5013, 0.6557), Si at (0.3950, 0.0013, 0.7838), Ag at (0.5610, 0.5001, 0.1268) and Ag at (0.7263, 0.5002, 0.4371).

The formation energy from raw total energies is 0.1478 eV/atom.


Density functional theory data (GGA-PBE) for GaSiAg after structural relaxation.

The structure belongs to space group Pm (No. 6); the cell edges are 6.3106, 2.7915 and 6.4576 Å and the angles 90.00°, 100.70° and 90.00°. The inequivalent atoms are Ga at (0.0000, 0.0000, 0.0000), Ga at (0.4075, 0.0000, 0.0142), Si at (0.4452, 0.5000, 0.6724), Si at (0.8218, 0.5000, 0.6634), Ag at (0.1255, 0.0000, 0.4613) and Ag at (0.7407, 0.5000, 0.2414).

The formation energy from raw total energies is 0.1844 eV/atom.


Density functional theory data (GGA-PBE) for GaSi2Ag2 after structural relaxation.

The structure belongs to space group I4/mmm (No. 139); the cell edges are 3.4703, 3.4703 and 15.0172 Å and the angles 90.00°, 90.00° and 90.00°. The inequivalent atoms are Ga at (0.0000, 0.0000, 0.0000), Si at (0.0000, 0.5000, 0.2500) and Ag at (0.0000, 0.0000, 0.4004).

The formation energy from raw total energies is 0.2869 eV/atom. For the offset from the most stable computed form, the calculation gives 0 meV/atom.


Density functional theory data (GGA-PBE) for GaSiAg after structural relaxation.

The structure belongs to space group P1 (No. 1); the cell edges are 2.8746, 5.7924 and 6.5634 Å and the angles 90.01°, 90.01° and 90.00°. The inequivalent atoms are Ga at (0.0000, 0.0000, 0.0000), Ga at (0.5001, 0.3961, 0.9145), Si at (0.4982, 0.4915, 0.2881), Si at (0.9984, 0.8267, 0.3464), Ag at (0.4992, 0.7969, 0.6947) and Ag at (0.9986, 0.2444, 0.5531).

The formation energy from raw total energies is 0.1832 eV/atom.


Density functional theory data (GGA-PBE) for GaSiAg after structural relaxation.

The structure belongs to space group P1 (No. 1); the cell edges are 2.7846, 6.4180 and 6.7689 Å and the angles 73.41°, 78.19° and 89.93°. The inequivalent atoms are Ga at (0.0000, 0.0000, 0.0000), Ga at (0.4895, 0.6191, 0.0197), Si at (0.3097, 0.3498, 0.3798), Si at (0.8185, 0.0350, 0.3587), Ag at (0.1782, 0.7510, 0.6401) and Ag at (0.6341, 0.3335, 0.7309).

The formation energy from raw total energies is 0.1649 eV/atom.